1.
# K3MgTl3I8

K3MgTl3I8 after structural relaxation (PBE, the Alexandria database).

Cell and atoms, written as CIF:
```
data_K3MgTl3I8
_cell_length_a 9.9716
_cell_length_b 9.9716
_cell_length_c 9.9716
_cell_angle_alpha 60.13
_cell_angle_beta 60.13
_cell_angle_gamma 60.13
_space_group_name_H-M_alt 'P 1'
_space_group_IT_number 1
loop_
_space_group_symop_operation_xyz
'x,y,z'
loop_
_atom_site_label
_atom_site_type_symbol
_atom_site_fract_x
_atom_site_fract_y
_atom_site_fract_z
K1 K 0.0000 0.5000 0.5000
K2 K 0.5000 0.0000 0.5000
K3 K 0.5000 0.5000 0.0000
Mg1 Mg 0.0000 0.0000 0.0000
Tl1 Tl 0.0000 0.0000 0.5000
Tl2 Tl 0.0000 0.5000 0.0000
Tl3 Tl 0.5000 0.0000 0.0000
I1 I 0.2124 0.2124 0.7883
I2 I 0.2124 0.7883 0.2124
I3 I 0.2117 0.7876 0.7876
I4 I 0.2506 0.2506 0.2506
I5 I 0.7494 0.7494 0.7494
I6 I 0.7883 0.2124 0.2124
I7 I 0.7876 0.2117 0.7876
I8 I 0.7876 0.7876 0.2117
```

Calculated values
E_form (uncorrected)	-1.057	eV/atom
crystal system	trigonal
density of states at the Fermi level	0.0000	states/eV per atom
symmetry	R-3m (166)
total magnetic moment	0.0	μB per cell



2.
# KMgUI6

KMgUI6 after structural relaxation (PBE, the Alexandria database).

Cell and atoms, written as CIF:
```
data_KMgUI6
_cell_length_a 7.8777
_cell_length_b 7.8777
_cell_length_c 15.6050
_cell_angle_alpha 90.00
_cell_angle_beta 90.00
_cell_angle_gamma 120.00
_space_group_name_H-M_alt 'P 1'
_space_group_IT_number 1
loop_
_space_group_symop_operation_xyz
'x,y,z'
loop_
_atom_site_label
_atom_site_type_symbol
_atom_site_fract_x
_atom_site_fract_y
_atom_site_fract_z
K1 K 0.0000 0.0000 0.0000
K2 K 0.0000 0.0000 0.5000
Mg1 Mg 0.3333 0.6667 0.2500
Mg2 Mg 0.6667 0.3333 0.7500
U1 U 0.3333 0.6667 0.7500
U2 U 0.6667 0.3333 0.2500
I1 I 0.0170 0.3757 0.1381
I2 I 0.0170 0.6413 0.3619
I3 I 0.3587 0.3757 0.3619
I4 I 0.3587 0.9830 0.1381
I5 I 0.3757 0.0170 0.6381
I6 I 0.3757 0.3587 0.8619
I7 I 0.6243 0.6413 0.1381
I8 I 0.6243 0.9830 0.3619
I9 I 0.6413 0.0170 0.8619
I10 I 0.6413 0.6243 0.6381
I11 I 0.9830 0.3587 0.6381
I12 I 0.9830 0.6243 0.8619
```

Calculated values
E_form (uncorrected)	-1.022	eV/atom
crystal system	trigonal
density of states at the Fermi level	0.0655	states/eV per atom
symmetry	P-31c (163)
total magnetic moment	6.0	μB per cell



3.
# K2MgZnI6

K2MgZnI6 after structural relaxation (PBE, the Alexandria database).

Cell and atoms, written as CIF:
```
data_K2MgZnI6
_cell_length_a 6.9145
_cell_length_b 8.3721
_cell_length_c 9.5986
_cell_angle_alpha 98.54
_cell_angle_beta 95.52
_cell_angle_gamma 113.44
_space_group_name_H-M_alt 'P 1'
_space_group_IT_number 1
loop_
_space_group_symop_operation_xyz
'x,y,z'
loop_
_atom_site_label
_atom_site_type_symbol
_atom_site_fract_x
_atom_site_fract_y
_atom_site_fract_z
K1 K 0.0000 0.0000 0.0000
K2 K 0.4874 0.9236 0.4528
Mg1 Mg 0.6340 0.4892 0.1354
Zn1 Zn 0.2808 0.4984 0.8310
I1 I 0.0242 0.1863 0.6847
I2 I 0.2292 0.4995 0.1132
I3 I 0.2939 0.7881 0.7612
I4 I 0.5741 0.1613 0.1768
I5 I 0.6835 0.5162 0.8537
I6 I 0.9002 0.7975 0.3179
```

Calculated values
E_form (uncorrected)	-1.061	eV/atom
crystal system	triclinic
density of states at the Fermi level	0.0000	states/eV per atom
symmetry	P1 (1)
total magnetic moment	0.0	μB per cell



4.
# KMgZn2I

KMgZn2I after structural relaxation (PBE, the Alexandria database).

Cell and atoms, written as CIF:
```
data_KMgZn2I
_cell_length_a 7.3294
_cell_length_b 7.3294
_cell_length_c 6.4368
_cell_angle_alpha 90.00
_cell_angle_beta 90.00
_cell_angle_gamma 90.00
_space_group_name_H-M_alt 'P 1'
_space_group_IT_number 1
loop_
_space_group_symop_operation_xyz
'x,y,z'
loop_
_atom_site_label
_atom_site_type_symbol
_atom_site_fract_x
_atom_site_fract_y
_atom_site_fract_z
K1 K 0.0000 0.0000 0.0000
Mg1 Mg 0.5000 0.5000 0.0000
Zn1 Zn 0.0000 0.5000 0.5000
Zn2 Zn 0.5000 0.0000 0.5000
I1 I 0.0000 0.0000 0.5000
```

Calculated values
E_form (uncorrected)	0.254	eV/atom
crystal system	tetragonal
density of states at the Fermi level	0.0000	states/eV per atom
symmetry	P4/mmm (123)
total magnetic moment	0.0	μB per cell



5.
# KMgZrI2

KMgZrI2 after structural relaxation (PBE, the Alexandria database).

Cell and atoms, written as CIF:
```
data_KMgZrI2
_cell_length_a 5.7265
_cell_length_b 5.7265
_cell_length_c 7.0826
_cell_angle_alpha 90.00
_cell_angle_beta 90.00
_cell_angle_gamma 90.00
_space_group_name_H-M_alt 'P 1'
_space_group_IT_number 1
loop_
_space_group_symop_operation_xyz
'x,y,z'
loop_
_atom_site_label
_atom_site_type_symbol
_atom_site_fract_x
_atom_site_fract_y
_atom_site_fract_z
K1 K 0.0000 0.0000 0.0000
Mg1 Mg 0.0000 0.0000 0.5000
Zr1 Zr 0.5000 0.5000 0.0000
I1 I 0.0000 0.5000 0.5000
I2 I 0.5000 0.0000 0.5000
```

Calculated values
E_form (uncorrected)	0.582	eV/atom
crystal system	tetragonal
density of states at the Fermi level	1.7009	states/eV per atom
symmetry	P4/mmm (123)
total magnetic moment	3.1	μB per cell



6.
# K2MgZrI

K2MgZrI after structural relaxation (PBE, the Alexandria database).

Cell and atoms, written as CIF:
```
data_K2MgZrI
_cell_length_a 7.1149
_cell_length_b 7.1149
_cell_length_c 5.5883
_cell_angle_alpha 90.00
_cell_angle_beta 90.00
_cell_angle_gamma 90.00
_space_group_name_H-M_alt 'P 1'
_space_group_IT_number 1
loop_
_space_group_symop_operation_xyz
'x,y,z'
loop_
_atom_site_label
_atom_site_type_symbol
_atom_site_fract_x
_atom_site_fract_y
_atom_site_fract_z
K1 K 0.0000 0.5000 0.0000
K2 K 0.5000 0.0000 0.0000
Mg1 Mg 0.0000 0.0000 0.5000
Zr1 Zr 0.5000 0.5000 0.0000
I1 I 0.5000 0.5000 0.5000
```

Calculated values
E_form (uncorrected)	0.535	eV/atom
crystal system	tetragonal
density of states at the Fermi level	0.8328	states/eV per atom
symmetry	P4/mmm (123)
total magnetic moment	3.1	μB per cell